Material: CaMg2Cu2Ge2
Method: DFT, PBE-GGA
State: relaxed

Calculated values
Symmetry   R-3m, No. 166
Energy   -3.5728 eV/atom
Energy relative to the elements   -342 meV/atom
Density of states at the Fermi level   1.31 states/eV/f.u.

Unit cell a=4.288 b=4.288 c=8.684 alpha=75.71 beta=75.71 gamma=60.00
Fractional positions:
1 Ca 0.000 0.000 0.000
2 Mg 0.134 0.134 0.597
3 Mg 0.866 0.866 0.403
4 Cu 0.579 0.579 0.263
5 Cu 0.421 0.421 0.737
6 Ge 0.747 0.747 0.758
7 Ge 0.253 0.253 0.242